A relaxed structure of Tb3ScAu2. Source: Alexandria via LeMat-Bulk, functional GGA-PBE.

Unit cell a=4.962 b=8.969 c=6.866 alpha=90.00 beta=90.00 gamma=90.00
Space group Pmc2_1 (No. 26)
Unique sites:
1 Tb 0.000 0.069 0.000 (multiplicity 2)
2 Tb 0.000 0.339 0.351 (multiplicity 2)
3 Tb 0.500 0.174 0.664 (multiplicity 2)
4 Sc 0.500 0.429 0.019 (multiplicity 2)
5 Au 0.000 0.346 0.776 (multiplicity 2)
6 Au 0.500 0.158 0.241 (multiplicity 2)

mass density: 10.0 g/cm3
V: 306 Å³ per cell
energy of formation from the pure elements: -13.79 kcal/mol of atoms
Fermi-level density of states: 13.4 states/eV/cell



A relaxed structure of Tb2ScAu. Source: Alexandria via LeMat-Bulk, functional GGA-PBE.

Unit cell a=3.6020 b=3.6020 c=29.2505 alpha=90.00 beta=90.00 gamma=120.00
Space group R3m (No. 160, hexagonal axes)
Unique sites:
1 Tb 0.0000 0.0000 0.0000 (multiplicity 3)
2 Tb 0.0000 0.0000 0.1831 (multiplicity 3)
3 Sc 0.0000 0.0000 0.4247 (multiplicity 3)
4 Au 0.0000 0.0000 0.5914 (multiplicity 3)

mass density: 8.5 g/cm3
V: 329 Å³ per cell
energy of formation from the pure elements: -5.40 kcal/mol of atoms
Fermi-level density of states: 17.5 states/eV/cell
excess energy over the best structure of this formula in the dataset: 138 meV/atom